First-principles (PBE-GGA) data for a geometry-optimized ErMg3Pb6 structure, as listed in the Alexandria database.

Calculated values
DFT formation energy: -57 meV per atom
Offset from the most stable computed form: 39 meV/atom
Space group: P2_1/c (14)
Size of the total moment: 0.00 μB per cell

abc: 4.862 9.613 12.468
angles: 90.00 96.50 90.00
Atoms (fractional coordinates):
Mg 0.459 0.827 0.839
Mg 0.500 0.500 0.000
Mg 0.000 0.000 0.500
Mg 0.541 0.173 0.161
Mg 0.959 0.673 0.339
Mg 0.041 0.327 0.661
Pb 0.049 0.686 0.620
Pb 0.010 0.327 0.061
Pb 0.549 0.814 0.120
Pb 0.490 0.827 0.439
Pb 0.929 0.992 0.742
Pb 0.510 0.173 0.561
Pb 0.951 0.314 0.380
Pb 0.451 0.186 0.880
Pb 0.571 0.492 0.758
Pb 0.071 0.008 0.258
Pb 0.990 0.673 0.939
Pb 0.429 0.508 0.242
Er 0.000 0.000 0.000
Er 0.500 0.500 0.500

=====

First-principles (PBE-GGA) data for a geometry-optimized Er3Mg2Pb structure, as listed in the Alexandria database.

Calculated values
DFT formation energy: -213 meV per atom
Space group: Cmmm (65)
Size of the total moment: 0.00 μB per cell

abc: 4.078 5.072 15.485
angles: 90.00 90.00 90.00
Atoms (fractional coordinates):
Er 0.500 0.500 0.667
Er 0.500 0.000 0.500
Er 0.500 0.500 0.333
Er 0.500 0.000 0.833
Er 0.500 0.000 0.167
Er 0.500 0.500 0.000
Mg 0.000 0.000 0.674
Mg 0.000 0.500 0.826
Mg 0.000 0.500 0.174
Mg 0.000 0.000 0.326
Pb 0.000 0.000 0.000
Pb 0.000 0.500 0.500

=====

First-principles (PBE-GGA) data for a geometry-optimized ErMg4Pb3 structure, as listed in the Alexandria database.

Calculated values
DFT formation energy: -88 meV per atom
Space group: Amm2 (38)
Size of the total moment: 0.00 μB per cell

abc: 4.938 6.296 7.460
angles: 114.96 89.99 90.00
Atoms (fractional coordinates):
Pb 0.581 0.683 0.366
Pb 0.081 0.287 0.574
Pb 0.582 0.957 0.913
Mg 0.082 0.813 0.138
Mg 0.082 0.324 0.138
Mg 0.581 0.176 0.352
Mg 0.082 0.826 0.652
Er 0.581 0.433 0.867

=====

First-principles (PBE-GGA) data for a geometry-optimized Er5MgPb6 structure, as listed in the Alexandria database.

Calculated values
DFT formation energy: -356 meV per atom
Space group: Immm (71)
Size of the total moment: 0.00 μB per cell

abc: 4.835 10.047 9.220
angles: 56.99 74.80 61.23
Atoms (fractional coordinates):
Pb 0.750 0.081 0.338
Pb 0.250 0.581 0.338
Pb 0.750 0.419 0.662
Pb 0.752 0.747 0.000
Pb 0.248 0.253 0.000
Pb 0.250 0.919 0.662
Mg 0.000 0.000 0.000
Er 0.500 0.152 0.697
Er 0.000 0.332 0.335
Er 0.500 0.848 0.303
Er 0.500 0.500 0.000
Er 0.000 0.668 0.665

=====

First-principles (PBE-GGA) data for a geometry-optimized ErMg3Pb6 structure, as listed in the Alexandria database.

Calculated values
DFT formation energy: -95 meV per atom
Offset from the most stable computed form: 0 meV/atom
Space group: P2_1/m (11)
Size of the total moment: 0.00 μB per cell

abc: 4.842 10.225 11.213
angles: 95.59 90.00 90.00
Atoms (fractional coordinates):
Mg 0.750 0.249 0.004
Mg 0.250 0.345 0.803
Mg 0.250 0.556 0.400
Mg 0.250 0.751 0.996
Mg 0.750 0.655 0.197
Mg 0.750 0.444 0.600
Pb 0.250 0.627 0.696
Pb 0.750 0.939 0.096
Pb 0.750 0.373 0.304
Pb 0.250 0.061 0.904
Pb 0.750 0.159 0.698
Pb 0.750 0.842 0.800
Pb 0.250 0.841 0.302
Pb 0.250 0.260 0.507
Pb 0.750 0.740 0.493
Pb 0.250 0.158 0.200
Pb 0.250 0.457 0.096
Pb 0.750 0.543 0.904
Er 0.750 0.060 0.390
Er 0.250 0.940 0.610

=====

First-principles (PBE-GGA) data for a geometry-optimized Er7MgPb4 structure, as listed in the Alexandria database.

Calculated values
DFT formation energy: -79 meV per atom
Space group: C2/m (12)
Size of the total moment: 0.01 μB per cell

abc: 5.599 9.282 7.962
angles: 80.16 69.41 72.45
Atoms (fractional coordinates):
Er 0.651 0.424 0.275
Er 0.795 0.867 0.542
Er 0.205 0.133 0.458
Er 0.500 0.000 0.000
Er 0.919 0.327 0.836
Er 0.349 0.576 0.725
Er 0.081 0.673 0.164
Pb 0.717 0.666 0.900
Pb 0.283 0.334 0.100
Pb 0.423 0.782 0.372
Pb 0.577 0.218 0.628
Mg 0.000 0.000 0.000

=====

First-principles (PBE-GGA) data for a geometry-optimized Er2MgPb9 structure, as listed in the Alexandria database.

Calculated values
DFT formation energy: -157 meV per atom
Space group: P4/mmm (123)
Size of the total moment: 0.00 μB per cell

abc: 4.770 4.770 15.249
angles: 90.00 90.00 90.00
Atoms (fractional coordinates):
Pb 0.500 0.000 0.500
Pb 0.000 0.500 0.500
Pb 0.500 0.000 0.834
Pb 0.000 0.500 0.834
Pb 0.500 0.500 0.000
Pb 0.500 0.000 0.166
Pb 0.500 0.500 0.331
Pb 0.500 0.500 0.669
Pb 0.000 0.500 0.166
Er 0.000 0.000 0.341
Er 0.000 0.000 0.659
Mg 0.000 0.000 0.000

=====

First-principles (PBE-GGA) data for a geometry-optimized ErMg4Pb5 structure, as listed in the Alexandria database.

Calculated values
DFT formation energy: -105 meV per atom
Space group: P4/mmm (123)
Size of the total moment: 0.00 μB per cell

abc: 3.821 3.821 18.161
angles: 90.00 90.00 90.00
Atoms (fractional coordinates):
Pb 0.500 0.500 0.697
Pb 0.500 0.500 0.500
Pb 0.500 0.500 0.892
Pb 0.500 0.500 0.303
Pb 0.500 0.500 0.108
Mg 0.000 0.000 0.599
Mg 0.000 0.000 0.401
Mg 0.000 0.000 0.796
Mg 0.000 0.000 0.204
Er 0.000 0.000 0.000

=====

First-principles (PBE-GGA) data for a geometry-optimized ErMg3Pb4 structure, as listed in the Alexandria database.

Calculated values
DFT formation energy: -154 meV per atom
Space group: Pmmm (47)
Size of the total moment: 0.00 μB per cell

abc: 3.954 5.109 10.492
angles: 90.00 90.00 90.00
Atoms (fractional coordinates):
Mg 0.500 0.000 0.751
Mg 0.500 0.000 0.249
Mg 0.500 0.500 0.500
Pb 0.000 0.500 0.741
Pb 0.000 0.000 0.000
Pb 0.000 0.000 0.500
Pb 0.000 0.500 0.259
Er 0.500 0.500 0.000

=====

First-principles (PBE-GGA) data for a geometry-optimized Er6MgPb structure, as listed in the Alexandria database.

Calculated values
DFT formation energy: -158 meV per atom
Space group: I4/mmm (139)
Size of the total moment: 0.00 μB per cell

abc: 9.986 9.986 9.986
angles: 151.09 151.09 41.34
Atoms (fractional coordinates):
Pb 0.500 0.500 0.000
Mg 0.000 0.000 0.000
Er 0.753 0.753 0.000
Er 0.247 0.247 0.000
Er 0.619 0.119 0.500
Er 0.881 0.381 0.500
Er 0.119 0.619 0.500
Er 0.381 0.881 0.500

=====

First-principles (PBE-GGA) data for a geometry-optimized Er2Mg2Pb3 structure, as listed in the Alexandria database.

Calculated values
DFT formation energy: -180 meV per atom
Space group: C2/m (12)
Size of the total moment: 0.00 μB per cell

abc: 4.909 4.920 8.973
angles: 74.19 105.88 90.00
Atoms (fractional coordinates):
Mg 0.881 0.619 0.763
Mg 0.119 0.381 0.237
Pb 0.744 0.256 0.488
Pb 0.256 0.744 0.512
Pb 0.000 0.000 0.000
Er 0.381 0.120 0.763
Er 0.619 0.880 0.237

=====

First-principles (PBE-GGA) data for a geometry-optimized Er3MgPb12 structure, as listed in the Alexandria database.

Calculated values
DFT formation energy: -176 meV per atom
Space group: P4/mmm (123)
Size of the total moment: 0.00 μB per cell

abc: 4.829 4.829 19.848
angles: 90.00 90.00 90.00
Atoms (fractional coordinates):
Pb 0.500 0.000 0.125
Pb 0.000 0.500 0.376
Pb 0.500 0.000 0.376
Pb 0.000 0.500 0.125
Pb 0.500 0.500 0.249
Pb 0.500 0.000 0.624
Pb 0.500 0.500 0.000
Pb 0.000 0.500 0.875
Pb 0.000 0.500 0.624
Pb 0.500 0.500 0.500
Pb 0.500 0.000 0.875
Pb 0.500 0.500 0.751
Mg 0.000 0.000 0.000
Er 0.000 0.000 0.257
Er 0.000 0.000 0.500
Er 0.000 0.000 0.743

=====

First-principles (PBE-GGA) data for a geometry-optimized Er2MgPb2 structure, as listed in the Alexandria database.

Calculated values
DFT formation energy: -330 meV per atom
Space group: C2/m (12)
Size of the total moment: 0.00 μB per cell

abc: 4.693 6.371 10.152
angles: 92.64 76.64 68.39
Atoms (fractional coordinates):
Er 0.672 0.325 0.332
Er 0.919 0.256 0.906
Er 0.081 0.744 0.094
Er 0.328 0.675 0.668
Pb 0.929 0.720 0.421
Pb 0.071 0.280 0.579
Pb 0.663 0.790 0.884
Pb 0.337 0.210 0.116
Mg 0.376 0.917 0.332
Mg 0.624 0.083 0.668

=====

First-principles (PBE-GGA) data for a geometry-optimized ErMgPb structure, as listed in the Alexandria database.

Calculated values
DFT formation energy: -118 meV per atom
Space group: F-43m (216)
Size of the total moment: 0.00 μB per cell

abc: 4.992 4.992 4.992
angles: 60.00 60.00 60.00
Atoms (fractional coordinates):
Pb 0.250 0.250 0.250
Mg 0.500 0.500 0.500
Er 0.000 0.000 0.000

=====

First-principles (PBE-GGA) data for a geometry-optimized Er6Mg5Pb structure, as listed in the Alexandria database.

Calculated values
DFT formation energy: -151 meV per atom
Space group: P2/m (10)
Size of the total moment: 0.00 μB per cell

abc: 5.330 7.465 8.451
angles: 90.00 71.76 89.99
Atoms (fractional coordinates):
Er 0.832 0.745 0.337
Er 0.500 0.253 0.000
Er 0.832 0.255 0.337
Er 0.168 0.255 0.663
Er 0.500 0.747 0.000
Er 0.168 0.745 0.663
Mg 0.673 0.000 0.655
Mg 0.664 0.500 0.670
Mg 0.327 0.000 0.345
Mg 0.000 0.500 0.000
Mg 0.336 0.500 0.330
Pb 0.000 0.000 0.000

=====

First-principles (PBE-GGA) data for a geometry-optimized ErMg4Pb structure, as listed in the Alexandria database.

Calculated values
DFT formation energy: -13 meV per atom
Space group: F-43m (216)
Size of the total moment: 0.00 μB per cell

abc: 6.001 6.001 6.001
angles: 60.00 60.00 60.00
Atoms (fractional coordinates):
Er 0.250 0.250 0.250
Mg 0.625 0.126 0.625
Mg 0.625 0.625 0.625
Mg 0.625 0.625 0.126
Mg 0.126 0.625 0.625
Pb 0.000 0.000 0.000

=====

First-principles (PBE-GGA) data for a geometry-optimized Er3Mg2Pb4 structure, as listed in the Alexandria database.

Calculated values
DFT formation energy: -341 meV per atom
Space group: P-1 (2)
Size of the total moment: 0.00 μB per cell

abc: 4.679 7.039 8.359
angles: 110.77 106.23 90.02
Atoms (fractional coordinates):
Er 0.877 0.386 0.754
Er 0.123 0.614 0.246
Er 0.000 0.000 0.000
Pb 0.521 0.301 0.041
Pb 0.777 0.722 0.557
Pb 0.223 0.278 0.443
Pb 0.479 0.699 0.959
Mg 0.329 0.999 0.659
Mg 0.671 0.001 0.341

=====

First-principles (PBE-GGA) data for a geometry-optimized ErMg3Pb3 structure, as listed in the Alexandria database.

Calculated values
DFT formation energy: -61 meV per atom
Offset from the most stable computed form: 6 meV/atom
Space group: R-3 (148)
Size of the total moment: 0.00 μB per cell

abc: 8.332 8.332 8.355
angles: 60.09 60.09 60.00
Atoms (fractional coordinates):
Mg 0.887 0.528 0.353
Mg 0.528 0.232 0.353
Mg 0.232 0.887 0.353
Mg 0.472 0.768 0.647
Mg 0.113 0.472 0.647
Mg 0.768 0.113 0.647
Pb 0.243 0.631 0.195
Pb 0.931 0.243 0.195
Pb 0.757 0.369 0.805
Pb 0.369 0.069 0.805
Pb 0.069 0.757 0.805
Pb 0.631 0.931 0.195
Er 0.332 0.332 0.003
Er 0.668 0.668 0.997

=====

First-principles (PBE-GGA) data for a geometry-optimized Er3Mg2Pb6 structure, as listed in the Alexandria database.

Calculated values
DFT formation energy: -149 meV per atom
Space group: I4/mmm (139)
Size of the total moment: 0.00 μB per cell

abc: 4.769 4.769 14.853
angles: 99.24 99.24 90.00
Atoms (fractional coordinates):
Er 0.157 0.157 0.314
Er 0.843 0.843 0.686
Er 0.000 0.000 0.000
Pb 0.425 0.925 0.850
Pb 0.737 0.737 0.473
Pb 0.075 0.575 0.150
Pb 0.263 0.263 0.527
Pb 0.575 0.075 0.150
Pb 0.925 0.425 0.850
Mg 0.360 0.360 0.721
Mg 0.640 0.640 0.279

=====

First-principles (PBE-GGA) data for a geometry-optimized Er2MgPb2 structure, as listed in the Alexandria database.

Calculated values
DFT formation energy: -216 meV per atom
Space group: P2_1/m (11)
Size of the total moment: 0.00 μB per cell

abc: 5.003 6.193 10.548
angles: 118.59 90.00 90.00
Atoms (fractional coordinates):
Pb 0.750 0.135 0.237
Pb 0.250 0.865 0.763
Pb 0.250 0.668 0.352
Pb 0.750 0.332 0.648
Er 0.750 0.774 0.559
Er 0.750 0.578 0.151
Er 0.250 0.422 0.849
Er 0.250 0.226 0.441
Mg 0.250 0.151 0.085
Mg 0.750 0.849 0.915

=====

First-principles (PBE-GGA) data for a geometry-optimized ErMg2Pb5 structure, as listed in the Alexandria database.

Calculated values
DFT formation energy: -97 meV per atom
Offset from the most stable computed form: 6 meV/atom
Space group: I4/mcm (140)
Size of the total moment: 0.00 μB per cell

abc: 8.420 8.420 8.675
angles: 119.03 119.03 90.00
Atoms (fractional coordinates):
Pb 0.510 0.311 0.321
Pb 0.990 0.490 0.679
Pb 0.500 0.500 0.000
Pb 0.000 0.000 0.000
Pb 0.311 0.811 0.321
Pb 0.689 0.189 0.679
Pb 0.010 0.510 0.321
Pb 0.490 0.689 0.679
Pb 0.811 0.010 0.321
Pb 0.189 0.990 0.679
Mg 0.361 0.861 0.000
Mg 0.861 0.639 0.000
Mg 0.639 0.139 0.000
Mg 0.139 0.361 0.000
Er 0.250 0.250 0.500
Er 0.750 0.750 0.500